(1)
Below is ZnCoMo at its PBEsol-relaxed geometry, with properties calculated at the SCAN level.

offset from the most stable computed form: 0.138 eV per atom
ΔE_f: 0.236 eV/atom
total magnetization: 1.469 μB per formula unit
SG: P3m1, No. 156

abc: 2.6633 2.6633 6.3954
angles: 90.00 90.00 120.00
Closest atoms and distances in Å follow each position.
Fractional positions:
Mo1 0.3333 0.6667 0.6858  3 Co 2.52, 6 Mo 2.66, 3 Zn 2.82
Co1 0.0000 0.0000 0.9980  3 Mo 2.52, 3 Zn 2.55, 6 Co 2.66
Zn1 0.6667 0.3333 0.3162  3 Co 2.55, 6 Zn 2.66, 3 Mo 2.82

(2)
Below is Zr2CoMo2 at its PBEsol-relaxed geometry, with properties calculated at the SCAN level.

ΔE_f: 1.121 eV/atom
total magnetization: 2.472 μB per formula unit
SG: I4/mmm, No. 139

abc: 3.7265 3.7265 7.1982
angles: 105.00 105.00 90.00
Closest atoms and distances in Å follow each position.
Fractional positions:
Co1 0.0000 0.0000 0.0000  8 Mo 2.84
Mo1 0.4203 0.4203 0.8405  1 Mo 2.14
Mo2 0.5797 0.5797 0.1595  1 Mo 2.14
Zr1 0.7500 0.2500 0.5000  4 Zr 2.64, 4 Mo 2.95
Zr2 0.2500 0.7500 0.5000  4 Zr 2.64, 4 Mo 2.95

(3)
Below is Zr2CoMo at its PBEsol-relaxed geometry, with properties calculated at the SCAN level.

ΔE_f: -0.156 eV/atom
total magnetization: 0.462 μB per formula unit
SG: P4/mmm, No. 123

abc: 3.2315 3.2315 6.3870
angles: 90.00 90.00 90.00
Closest atoms and distances in Å follow each position.
Fractional positions:
Zr1 0.0000 0.0000 0.2413  4 Co 2.76, 4 Mo 2.82, 1 Zr 3.08
Zr2 0.0000 0.0000 0.7587  4 Co 2.76, 4 Mo 2.82, 1 Zr 3.08
Mo1 0.5000 0.5000 0.5000  8 Zr 2.82
Co1 0.5000 0.5000 0.0000  8 Zr 2.76

(4)
Below is ZrCo2Mo at its PBEsol-relaxed geometry, with properties calculated at the SCAN level.

offset from the most stable computed form: 0.000 eV per atom
ΔE_f: 0.154 eV/atom
total magnetization: 0.000 μB per formula unit
SG: P2/m, No. 10

abc: 2.7621 3.5555 5.6223
angles: 90.00 90.12 90.00
Closest atoms and distances in Å follow each position.
Fractional positions:
Mo1 0.5000 0.5000 0.0000  8 Co 2.58, 2 Mo 2.76, 2 Zr 2.81
Co1 0.0002 0.0000 0.7769  3 Co 2.51-2.76, 4 Mo 2.58, 4 Zr 2.74
Co2 0.9998 0.0000 0.2231  3 Co 2.51-2.76, 4 Mo 2.58, 4 Zr 2.74
Zr1 0.5000 0.5000 0.5000  8 Co 2.74, 2 Zr 2.76, 2 Mo 2.81

(5)
Below is ZrCo2Mo at its PBEsol-relaxed geometry, with properties calculated at the SCAN level.

offset from the most stable computed form: 0.238 eV per atom
ΔE_f: 0.393 eV/atom
total magnetization: 3.082 μB per formula unit
SG: R3m, No. 160

abc: 2.7122 2.7122 9.0936
angles: 81.42 81.42 60.00
Closest atoms and distances in Å follow each position.
Fractional positions:
Zr1 0.2557 0.2557 0.2328  6 Zr 2.71, 3 Co 2.84
Co1 0.0104 0.0104 0.9687  3 Co 2.40
Co2 0.7448 0.7448 0.7657  3 Co 2.40, 3 Mo 2.61
Mo1 0.4890 0.4890 0.5329  3 Co 2.61, 6 Mo 2.71

(6)
Below is Zr9CoMo4 at its PBEsol-relaxed geometry, with properties calculated at the SCAN level.

ΔE_f: -0.115 eV/atom
total magnetization: 0.000 μB per formula unit
SG: P6_3/mmc, No. 194

abc: 8.2984 8.6812 8.6812
angles: 120.00 90.00 90.00
Closest atoms and distances in Å follow each position.
Fractional positions:
Zr1 0.5576 0.7988 0.5976  1 Co 2.55
Zr2 0.2500 0.5426 0.0853  2 Mo 2.91, 1 Co 3.15, 10 Zr 3.19-3.23
Zr3 0.0576 0.2012 0.7988  1 Co 2.55
Zr4 0.0576 0.2012 0.4024  1 Co 2.55
Zr5 0.5576 0.4024 0.2012  1 Co 2.55
Zr6 0.4424 0.2012 0.7988  1 Co 2.55
Zr7 0.2500 0.9147 0.4574  2 Mo 2.91, 1 Co 3.15, 10 Zr 3.19-3.23
Zr8 0.9424 0.7988 0.5976  1 Co 2.55
Zr9 0.9424 0.4024 0.2012  1 Co 2.55
Zr10 0.7500 0.4574 0.5426  2 Mo 2.91, 1 Co 3.15, 10 Zr 3.19-3.23
Zr11 0.4424 0.5976 0.7988  1 Co 2.55
Zr12 0.0576 0.5976 0.7988  1 Co 2.55
Zr13 0.9424 0.7988 0.2012  1 Co 2.55
Zr14 0.4424 0.2012 0.4024  1 Co 2.55
Zr15 0.2500 0.5426 0.4574  2 Mo 2.91, 1 Co 3.15, 10 Zr 3.19-3.23
Zr16 0.5576 0.7988 0.2012  1 Co 2.55
Zr17 0.7500 0.4574 0.9147  2 Mo 2.91, 1 Co 3.15, 10 Zr 3.19-3.23
Zr18 0.7500 0.0853 0.5426  2 Mo 2.91, 1 Co 3.15, 10 Zr 3.19-3.23
Mo1 0.7500 0.1102 0.8898  4 Mo 2.66-2.87, 4 Zr 2.90-2.91
Mo2 0.7500 0.1102 0.2205  4 Mo 2.66-2.87, 4 Zr 2.90-2.91
Mo3 0.2500 0.8898 0.1102  4 Mo 2.66-2.87, 4 Zr 2.90-2.91
Mo4 0.2500 0.2205 0.1102  4 Mo 2.66-2.87, 4 Zr 2.90-2.91
Mo5 0.7500 0.7795 0.8898  4 Mo 2.66-2.87, 4 Zr 2.90-2.91
Mo6 0.5000 0.0000 0.0000  6 Mo 2.66
Mo7 0.2500 0.8898 0.7795  4 Mo 2.66-2.87, 4 Zr 2.90-2.91
Mo8 0.0000 0.0000 0.0000  6 Mo 2.66
Co1 0.2500 0.3333 0.6667  6 Zr 2.55
Co2 0.7500 0.6667 0.3333  6 Zr 2.55

(7)
Below is NaCo3N at its PBEsol-relaxed geometry, with properties calculated at the SCAN level.

total magnetization: 6.600 μB per formula unit
uncorrected energy: -10.09 eV/atom
SG: Pm-3m, No. 221

abc: 4.2343 4.2343 4.2343
angles: 90.00 90.00 90.00
Closest atoms and distances in Å follow each position.
Fractional positions:
N1 0.5000 0.5000 0.5000  12 Co 2.99
Co1 0.5000 0.0000 0.0000  2 Na 2.12
Co2 0.0000 0.0000 0.5000  2 Na 2.12
Co3 0.0000 0.5000 0.0000  2 Na 2.12
Na1 0.0000 0.0000 0.0000  6 Co 2.12

(8)
Below is NaCoReN2 at its PBEsol-relaxed geometry, with properties calculated at the SCAN level.

total magnetization: 1.190 μB per formula unit
uncorrected energy: -20.36 eV/atom
SG: P4/mmm, No. 123

abc: 3.7511 3.7511 4.5688
angles: 90.00 90.00 90.00
Closest atoms and distances in Å follow each position.
Fractional positions:
N1 0.0000 0.5000 0.0000  2 Co 1.88
N2 0.5000 0.0000 0.0000  2 Co 1.88
Re1 0.0000 0.0000 0.5000  2 Co 2.28
Co1 0.0000 0.0000 0.0000  4 N 1.88
Na1 0.5000 0.5000 0.5000  4 Re 2.65, 8 N 2.96